## CaH3O (GGA-PBE)

Data for a relaxed structure of CaH3O.

Properties
Spin magnetization: 0.00 μB per cell
Calculated total energy: -3.1809 eV per atom
V: 43.4 Å³ per cell
Fermi-level density of states: 1.11 states/eV per cell
Space group: Pm-3m (221)
Crystal system: cubic

Structure (extended XYZ):
```
5
Lattice="-2.489 -0.810 -2.346 2.156 -2.353 -1.475 -1.231 -2.483 2.162" Properties=species:S:1:pos:R:3 pbc="T T T"
O 0.000 0.000 0.000
H 1.078 -1.176 -0.738
H -0.615 -1.242 1.081
H -1.245 -0.405 -1.173
Ca -0.782 -2.823 -0.830
```



## Ca4H2O (GGA-PBE)

Data for a relaxed structure of Ca4H2O.

Properties
Spin magnetization: 0.00 μB per cell
Calculated total energy: -3.6843 eV per atom
V: 137.6 Å³ per cell
Fermi-level density of states: 1.76 states/eV per cell
Space group: I4/mmm (139)
Crystal system: tetragonal

Structure (extended XYZ):
```
7
Lattice="-3.487 -1.146 3.121 1.901 -4.398 0.510 2.562 -0.803 6.286" Properties=species:S:1:pos:R:3 pbc="T T T"
H -0.186 -2.416 2.625
H 1.161 -3.931 7.293
Ca -1.744 -0.573 1.561
Ca 1.109 -1.656 4.351
Ca -0.134 -4.691 5.567
Ca 0.951 -2.199 0.255
O 0.000 0.000 0.000
```



## CaHO (GGA-PBE)

Data for a relaxed structure of CaHO.

Properties
Spin magnetization: 0.00 μB per cell
Calculated total energy: -4.9281 eV per atom
V: 51.6 Å³ per cell
Fermi-level density of states: 0.88 states/eV per cell
Space group: I4mm (107)
Crystal system: tetragonal
Distance to the lowest polymorph of the same formula: 0.366 eV per atom

Structure (extended XYZ):
```
3
Lattice="3.376 0.000 0.000 0.000 3.376 0.000 -1.688 -1.688 4.528" Properties=species:S:1:pos:R:3 pbc="T T T"
O 0.000 0.000 0.842
Ca 1.688 1.688 0.473
H 0.000 0.000 1.854
```



## Ca3H4O5 (GGA-PBE)

Data for a relaxed structure of Ca3H4O5.

Properties
Spin magnetization: 0.00 μB per cell
Calculated total energy: -5.7451 eV per atom
V: 144.7 Å³ per cell
Fermi-level density of states: 0.00 states/eV per cell
Space group: P-3m1 (164)
Crystal system: trigonal

Structure (extended XYZ):
```
12
Lattice="3.553 0.000 0.000 -1.777 3.077 0.000 0.000 0.000 13.228" Properties=species:S:1:pos:R:3 pbc="T T T"
H 0.000 2.052 4.474
H 0.000 2.052 9.701
H 1.777 1.026 8.754
H 1.777 1.026 3.528
O 0.000 2.052 5.445
O 0.000 2.052 10.673
O 1.777 1.026 7.783
O 0.000 0.000 0.000
O 1.777 1.026 2.555
Ca 0.000 0.000 6.614
Ca 1.777 1.026 11.845
Ca 0.000 2.052 1.384
```



## CaH5O4 (GGA-PBE)

Data for a relaxed structure of CaH5O4.

Properties
Spin magnetization: 2.00 μB per cell
Calculated total energy: -5.0147 eV per atom
V: 188.6 Å³ per cell
Fermi-level density of states: 1.21 states/eV per cell
Space group: Pmmn (59)
Crystal system: orthorhombic

Structure (extended XYZ):
```
20
Lattice="5.185 0.000 0.000 0.000 6.923 0.000 0.000 0.000 5.254" Properties=species:S:1:pos:R:3 pbc="T T T"
O 2.091 5.456 0.000
O 4.651 3.462 4.096
O 0.533 0.000 1.469
O 0.533 0.000 3.785
O 4.651 3.462 1.158
O 3.094 4.930 2.627
O 2.091 1.468 0.000
O 3.094 1.994 2.627
H 4.441 3.462 0.000
H 3.647 4.547 3.394
H 3.647 2.376 1.860
H 1.537 1.085 0.767
H 1.537 1.085 4.487
H 0.744 0.000 2.627
H 1.537 5.838 0.767
H 3.647 4.547 1.860
H 3.647 2.376 3.394
H 1.537 5.838 4.487
Ca 1.189 3.462 2.627
Ca 3.996 0.000 0.000
```



## CaHO3 (GGA-PBE)

Data for a relaxed structure of CaHO3.

Properties
Spin magnetization: 3.00 μB per cell
Calculated total energy: -4.5703 eV per atom
V: 43.1 Å³ per cell
Fermi-level density of states: 1.57 states/eV per cell
Space group: Pm-3m (221)
Crystal system: cubic

Structure (extended XYZ):
```
5
Lattice="-2.918 1.762 -0.816 -1.640 -1.448 2.739 1.040 2.661 2.030" Properties=species:S:1:pos:R:3 pbc="T T T"
H 0.000 0.000 0.000
O -0.820 -0.724 1.369
O -1.459 0.881 -0.408
O 0.520 1.331 1.015
Ca -1.759 1.488 1.976
```



## Ca4H5O (GGA-PBE)

Data for a relaxed structure of Ca4H5O.

Properties
Spin magnetization: 1.03 μB per cell
Calculated total energy: -3.9210 eV per atom
V: 148.7 Å³ per cell
Fermi-level density of states: 0.80 states/eV per cell
Space group: C2/m (12)
Crystal system: monoclinic

Structure (extended XYZ):
```
10
Lattice="-2.333 -1.374 2.498 2.519 -5.311 -0.567 3.331 6.992 4.239" Properties=species:S:1:pos:R:3 pbc="T T T"
H 1.828 -1.675 0.786
H 0.093 -3.342 0.965
H 1.581 0.682 1.852
H 1.936 -0.375 4.318
H 1.689 1.983 5.384
Ca 1.133 4.087 6.021
Ca 0.719 -1.354 2.643
Ca 2.384 -3.780 0.148
Ca 2.798 1.662 3.527
O -1.167 -0.687 1.249
```



## CaH2O (GGA-PBE)

Data for a relaxed structure of CaH2O.

Properties
Spin magnetization: 0.00 μB per cell
Calculated total energy: -4.0705 eV per atom
V: 110.8 Å³ per cell
Fermi-level density of states: 2.84 states/eV per cell
Space group: I4_1/amd (141)
Crystal system: tetragonal
Distance to the lowest polymorph of the same formula: 0.000 eV per atom

Structure (extended XYZ):
```
8
Lattice="3.145 0.000 0.000 0.000 3.145 0.000 1.573 1.573 11.198" Properties=species:S:1:pos:R:3 pbc="T T T"
H 1.573 0.786 2.799
H 2.359 3.145 8.398
H 1.572 2.359 2.799
H 3.931 3.145 8.398
O 1.573 1.573 0.000
O 1.573 3.145 5.599
Ca 0.000 0.000 0.000
Ca 3.145 1.573 5.599
```



## Ca7H12O (GGA-PBE)

Data for a relaxed structure of Ca7H12O.

Properties
Spin magnetization: 0.00 μB per cell
Calculated total energy: -3.6426 eV per atom
V: 275.0 Å³ per cell
Fermi-level density of states: 0.00 states/eV per cell
Space group: R-3 (148)
Crystal system: trigonal

Structure (extended XYZ):
```
20
Lattice="8.959 0.000 -1.844 -3.580 5.103 -2.271 -1.799 0.000 6.386" Properties=species:S:1:pos:R:3 pbc="T T T"
H 5.866 1.731 -0.905
H 2.499 3.981 -2.143
H -2.286 3.372 3.176
H 2.419 3.491 0.534
H 0.096 4.494 1.307
H 5.084 4.233 -1.641
H 4.438 2.621 2.531
H 3.484 0.608 0.964
H -1.504 0.870 3.912
H 1.081 1.122 4.414
H 1.161 1.612 1.737
H -0.858 2.482 -0.260
Ca -1.014 1.272 1.807
Ca 5.451 0.720 2.970
Ca 4.479 0.000 -0.922
Ca 4.594 3.830 0.464
Ca 2.315 3.111 2.857
Ca 1.265 1.992 -0.586
Ca -1.871 4.383 -0.699
O 0.000 0.000 0.000
```



## Ca2H2OsO6 (GGA-PBE)

Data for a relaxed structure of Ca2H2OsO6.

Properties
Spin magnetization: 1.30 μB per cell
Calculated total energy: -6.1784 eV per atom
V: 110.8 Å³ per cell
Fermi-level density of states: 4.29 states/eV per cell
Space group: R-3m (166)
Crystal system: trigonal

Structure (extended XYZ):
```
11
Lattice="-0.865 4.304 2.596 -4.774 1.348 1.185 -1.530 -0.599 5.493" Properties=species:S:1:pos:R:3 pbc="T T T"
Ca -5.404 3.987 6.620
Ca -1.764 1.066 2.655
Os 0.000 0.000 0.000
H -3.491 1.866 5.764
H -3.677 3.187 3.511
O -2.587 0.978 5.119
O -4.164 1.997 2.903
O -3.004 3.055 6.372
O -4.891 1.629 5.691
O -2.277 3.424 3.584
O -4.581 4.075 4.156
```



## CaPHO4 (GGA-PBE)

Data for a relaxed structure of CaPHO4.

Properties
Spin magnetization: 0.03 μB per cell
Calculated total energy: -6.7779 eV per atom
V: 320.4 Å³ per cell
Fermi-level density of states: 0.00 states/eV per cell
Space group: P1 (1)
Crystal system: triclinic
Distance to the lowest polymorph of the same formula: 0.000 eV per atom

Structure (extended XYZ):
```
28
Lattice="6.979 -0.002 0.004 0.212 6.719 0.001 1.749 0.767 6.835" Properties=species:S:1:pos:R:3 pbc="T T T"
Ca 1.856 5.885 2.245
Ca 3.465 3.528 4.960
Ca 5.529 3.934 1.846
Ca 6.862 1.608 4.553
O 0.832 3.712 1.756
O 4.682 1.049 0.153
O 3.192 3.593 2.545
O 4.210 6.331 6.728
O 6.478 5.146 6.421
O 4.440 1.364 4.897
O 5.781 3.909 4.291
O 4.470 6.232 2.120
O 2.451 2.314 0.447
O 7.262 5.982 4.128
O 5.675 1.659 2.407
O 1.702 1.507 2.757
O 8.138 3.774 5.127
O 3.478 5.903 4.349
O 6.733 6.311 1.143
O 2.116 1.002 5.732
H 5.570 5.647 6.496
H 1.967 7.429 6.690
H 3.336 1.774 0.371
H 4.259 6.244 3.144
P 6.947 4.717 4.932
P 3.717 6.997 5.428
P 5.323 0.534 1.446
P 2.021 2.762 1.940
```



## CaP2H6O7 (GGA-PBE)

Data for a relaxed structure of CaP2H6O7.

Properties
Spin magnetization: 0.00 μB per cell
Calculated total energy: -5.8791 eV per atom
V: 366.7 Å³ per cell
Fermi-level density of states: 0.00 states/eV per cell
Space group: P-1 (2)
Crystal system: triclinic

Structure (extended XYZ):
```
32
Lattice="7.124 -0.003 0.012 0.697 6.810 0.004 2.994 0.426 7.564" Properties=species:S:1:pos:R:3 pbc="T T T"
O 5.335 2.300 3.271
O 7.395 2.267 6.015
O 9.177 0.539 5.578
O 4.602 0.380 5.596
O 3.419 4.967 1.565
O 6.212 6.854 1.983
O 1.687 2.072 0.377
O 5.799 4.908 6.702
O 5.015 2.326 0.877
O 5.479 4.934 4.309
O 9.127 5.163 7.203
O 8.110 4.220 2.122
O 1.637 6.695 2.001
O 2.704 3.014 5.457
P 2.122 5.208 2.340
P 4.836 1.397 2.153
P 8.692 2.026 5.240
P 5.978 5.837 5.426
Ca 5.087 2.748 5.591
Ca 5.727 4.486 1.988
H 9.364 4.414 6.601
H 7.734 6.796 2.016
H 3.457 1.153 2.286
H 1.457 1.247 0.860
H 3.080 0.438 5.563
H 7.701 2.485 7.487
H 1.450 2.820 0.978
H 8.355 2.000 3.874
H 3.113 4.750 0.092
H 9.357 5.987 6.720
H 2.459 5.234 3.706
H 7.357 6.081 5.294
```



## CaP2HO (GGA-PBE)

Data for a relaxed structure of CaP2HO.

Properties
Spin magnetization: 0.38 μB per cell
Calculated total energy: -3.1052 eV per atom
V: 132.3 Å³ per cell
Fermi-level density of states: 5.90 states/eV per cell
Space group: P4/mmm (123)
Crystal system: tetragonal
Distance to the lowest polymorph of the same formula: 1.545 eV per atom

Structure (extended XYZ):
```
5
Lattice="5.503 0.000 0.000 0.000 5.503 0.000 0.000 0.000 4.369" Properties=species:S:1:pos:R:3 pbc="T T T"
P 2.751 0.000 0.000
P 0.000 2.751 0.000
O 0.000 0.000 2.185
H 2.751 2.751 2.185
Ca 0.000 0.000 0.000
```



## CaP2HO (GGA-PBE)

Data for a relaxed structure of CaP2HO.

Properties
Spin magnetization: 0.00 μB per cell
Calculated total energy: -4.6498 eV per atom
V: 72.0 Å³ per cell
Fermi-level density of states: 3.12 states/eV per cell
Space group: P4/mmm (123)
Crystal system: tetragonal
Distance to the lowest polymorph of the same formula: 0.000 eV per atom

Structure (extended XYZ):
```
5
Lattice="3.437 0.000 0.000 0.000 3.437 0.000 0.000 0.000 6.098" Properties=species:S:1:pos:R:3 pbc="T T T"
Ca 1.718 1.718 3.049
P 1.718 0.000 0.000
P 0.000 1.718 0.000
H 0.000 0.000 0.000
O 0.000 0.000 3.049
```



## CaPHO4 (GGA-PBE)

Data for a relaxed structure of CaPHO4.

Properties
Spin magnetization: 0.00 μB per cell
Calculated total energy: -6.7604 eV per atom
V: 685.1 Å³ per cell
Fermi-level density of states: 0.00 states/eV per cell
Space group: P2_1/c (14)
Crystal system: monoclinic
Distance to the lowest polymorph of the same formula: 0.017 eV per atom

Structure (extended XYZ):
```
56
Lattice="-2.683 3.863 5.103 -9.317 -1.897 -3.464 3.605 -7.057 7.237" Properties=species:S:1:pos:R:3 pbc="T T T"
O -7.152 -4.192 4.351
O -2.883 -7.127 4.098
O -5.701 -2.429 6.130
O -10.815 1.047 2.426
O -1.279 -5.545 5.243
O 0.513 -2.855 2.923
O -5.513 2.036 4.778
O 2.420 -6.138 6.450
O 1.137 -4.644 8.114
O -4.398 -4.540 3.213
O -0.291 -2.651 8.290
O -3.073 -3.763 9.084
O -9.532 -0.447 0.763
O -8.909 -2.236 5.953
O -4.005 -1.684 7.889
O -4.391 -3.407 0.988
O -1.696 0.158 1.619
O -3.405 -5.803 6.829
O -7.117 0.455 3.634
O -1.244 -0.898 4.526
O -9.095 -1.816 2.897
O -4.991 0.713 2.047
O -5.322 -1.328 -0.208
O -2.694 -2.662 2.746
O -5.081 -2.062 3.076
O -8.105 -2.440 0.586
O -6.700 -5.248 7.258
O -3.315 -3.029 5.801
O -2.725 1.875 4.015
O 0.699 -3.275 5.979
O -5.670 -6.966 4.862
O -3.998 -0.550 5.663
P -10.699 0.663 0.948
P -4.157 -3.175 2.575
P 2.303 -5.754 7.928
P -9.313 -1.967 1.404
P -4.239 -1.915 6.301
P -4.255 -2.399 -0.328
P -4.141 -2.692 9.205
P 0.918 -3.124 7.473
H -6.976 -5.641 1.302
H -2.537 -5.647 6.330
H -1.419 0.551 7.575
H -9.301 -3.077 5.547
H 0.905 -2.013 3.330
H -5.064 0.194 1.210
H -3.332 -5.284 7.667
H -5.859 0.557 2.547
Ca -1.230 -3.290 4.715
Ca -7.363 -2.995 7.729
Ca -3.224 -0.365 3.403
Ca -5.171 -4.726 5.473
Ca -7.165 -1.801 4.162
Ca -0.995 -3.962 10.066
Ca -7.400 -1.129 -1.190
Ca -1.033 -2.096 1.147
```



## CaP2HO8 (GGA-PBE)

Data for a relaxed structure of CaP2HO8.

Properties
Spin magnetization: 2.08 μB per cell
Calculated total energy: -6.4622 eV per atom
V: 347.9 Å³ per cell
Fermi-level density of states: 0.62 states/eV per cell
Space group: P-1 (2)
Crystal system: triclinic

Structure (extended XYZ):
```
24
Lattice="4.952 0.241 0.766 2.729 5.919 0.787 2.991 1.986 12.719" Properties=species:S:1:pos:R:3 pbc="T T T"
O 5.736 5.833 7.043
O 4.936 2.313 7.229
O 7.612 3.627 11.141
O 3.457 4.946 7.704
O 5.880 4.960 12.368
O 3.060 4.519 3.132
O 4.792 3.186 1.904
O 5.199 4.152 5.401
O 7.989 4.129 13.550
O 5.813 1.784 4.941
O 7.215 3.200 6.569
O 5.473 3.994 8.871
O 8.089 6.117 11.867
O 2.683 4.017 0.722
O 2.583 2.030 2.406
O 4.859 6.362 9.332
P 3.193 3.413 2.155
P 7.479 4.733 12.118
P 4.861 5.286 8.214
P 5.811 2.861 6.059
H 8.856 6.281 11.157
H 1.817 1.865 3.115
Ca 7.929 5.426 6.144
Ca 2.743 2.720 8.129
```



## CaPH4O6 (GGA-PBE)

Data for a relaxed structure of CaPH4O6.

Properties
Spin magnetization: 2.11 μB per cell
Calculated total energy: -5.9241 eV per atom
V: 258.9 Å³ per cell
Fermi-level density of states: 8.37 states/eV per cell
Space group: C2/c (15)
Crystal system: monoclinic
Distance to the lowest polymorph of the same formula: 0.005 eV per atom

Structure (extended XYZ):
```
24
Lattice="8.208 0.005 -0.127 -5.614 5.988 -0.127 0.921 2.127 5.174" Properties=species:S:1:pos:R:3 pbc="T T T"
H 0.984 5.665 1.229
H 1.591 3.369 4.581
H 0.907 2.403 1.994
H 3.917 5.658 3.816
H -0.403 2.462 1.105
H 2.531 2.455 3.691
H 1.923 4.751 0.340
H 2.608 5.718 2.927
O 4.369 1.395 0.279
O 0.092 4.334 4.577
O 2.636 1.970 1.990
O -0.072 2.543 2.035
O 2.363 2.751 4.622
O 5.028 2.917 2.055
O 3.587 5.578 2.885
O 0.878 6.151 2.930
O -0.854 6.725 4.642
O -1.513 5.204 2.865
O 3.423 3.787 0.344
O 1.151 5.369 0.298
Ca 6.664 2.568 3.754
Ca -3.149 5.552 1.167
P 3.804 2.543 1.167
P -0.290 5.577 3.754
```